No. 1
Entry from Alexandria via LeMat-Bulk: an optimized crystal structure of Na5Sn2Te5 (PBE).

E: -3.145 eV/atom

Cell and atoms, written as POSCAR:
```
Na5Sn2Te5
1.0
7.4823 -2.2472 0.0000
7.4823 2.2472 0.0000
-4.3111 0.0000 12.3144
Na Sn Te
5 2 5
direct
0.0000 0.0000 0.0000
0.1571 0.1571 0.5417
0.2343 0.2343 0.8568
0.7657 0.7657 0.1432
0.8429 0.8429 0.4583
0.4527 0.4527 0.7096
0.5473 0.5473 0.2904
0.1876 0.1876 0.2979
0.3913 0.3913 0.0907
0.5000 0.5000 0.5000
0.6087 0.6087 0.9093
0.8124 0.8124 0.7021
```


No. 2
Entry from Alexandria via LeMat-Bulk: an optimized crystal structure of NaSnTe2 (PBE).

E: -3.054 eV/atom

Cell and atoms, written as POSCAR:
```
NaSnTe2
1.0
3.4755 0.0000 0.0000
-1.7378 3.0099 0.0000
0.0000 0.0000 33.9503
Na Sn Te
3 3 6
direct
0.0000 0.0000 0.0000
0.3333 0.6667 0.6667
0.6667 0.3333 0.3333
0.0000 0.0000 0.5000
0.3333 0.6667 0.1667
0.6667 0.3333 0.8333
0.0000 0.0000 0.4060
0.0000 0.0000 0.5940
0.3333 0.6667 0.0727
0.3333 0.6667 0.2606
0.6667 0.3333 0.7394
0.6667 0.3333 0.9273
```


No. 3
Entry from Alexandria via LeMat-Bulk: an optimized crystal structure of NaSn3Te4 (PBE).

E: -3.622 eV/atom

Cell and atoms, written as POSCAR:
```
NaSn3Te4
1.0
12.7684 0.0000 0.0000
0.0000 6.3057 0.0000
0.0000 0.0000 6.3036
Na Sn Te
2 6 8
direct
0.0000 0.2492 0.0000
0.5000 0.7508 0.5000
0.0000 0.7521 0.5015
0.2500 0.2503 0.5012
0.2500 0.7497 0.0012
0.5000 0.2479 0.0015
0.7500 0.2503 0.5012
0.7500 0.7497 0.0012
0.0000 0.2504 0.5001
0.0000 0.7492 0.0005
0.2438 0.7502 0.5006
0.2562 0.2498 0.0006
0.5000 0.2508 0.5005
0.5000 0.7496 0.0001
0.7438 0.2498 0.0006
0.7562 0.7502 0.5006
```


No. 4
Entry from Alexandria via LeMat-Bulk: an optimized crystal structure of Na2Sn2Te3 (PBE).

E: -3.363 eV/atom

Cell and atoms, written as POSCAR:
```
Na2Sn2Te3
1.0
15.3762 0.0000 0.0000
0.0000 4.6713 0.0000
-2.7254 0.0000 7.6299
Na Sn Te
4 4 6
direct
0.1638 0.0000 0.3401
0.3362 0.5000 0.6599
0.6638 0.5000 0.3401
0.8362 0.0000 0.6599
0.1230 0.5000 0.9095
0.3770 0.0000 0.0905
0.6230 0.0000 0.9095
0.8770 0.5000 0.0905
0.0000 0.0000 0.0000
0.2229 0.0000 0.7523
0.2771 0.5000 0.2477
0.5000 0.5000 0.0000
0.7229 0.5000 0.7523
0.7771 0.0000 0.2477
```


No. 5
Entry from Alexandria via LeMat-Bulk: an optimized crystal structure of Na5Sn2Te4 (PBE).

E: -2.797 eV/atom

Cell and atoms, written as POSCAR:
```
Na5Sn2Te4
1.0
-2.4777 3.2186 13.1469
2.4777 -3.2186 13.1469
2.4777 3.2186 -13.1469
Na Sn Te
5 2 4
direct
0.0000 0.0000 0.0000
0.1383 0.3836 0.7548
0.3712 0.6164 0.7548
0.6288 0.3836 0.2452
0.8617 0.6164 0.2452
0.2503 0.7503 0.5000
0.7497 0.2497 0.5000
0.2708 0.5000 0.7708
0.3573 0.8573 0.5000
0.6427 0.1427 0.5000
0.7292 0.5000 0.2292
```


No. 6
Entry from Alexandria via LeMat-Bulk: an optimized crystal structure of Na4SnTe4 (PBE).

E: -3.137 eV/atom

Cell and atoms, written as POSCAR:
```
Na4SnTe4
1.0
8.8813 0.0000 0.0000
0.0000 8.8825 0.0000
0.0000 0.0000 15.7962
Na Sn Te
16 4 16
direct
0.0539 0.0973 0.1115
0.0538 0.0981 0.6116
0.1529 0.1958 0.3615
0.1526 0.1969 0.8614
0.3474 0.8031 0.3614
0.3471 0.8042 0.8615
0.4462 0.9019 0.1116
0.4461 0.9027 0.6115
0.5538 0.4019 0.3884
0.5539 0.4027 0.8885
0.6526 0.3031 0.1386
0.6529 0.3042 0.6385
0.8471 0.6958 0.1385
0.8474 0.6969 0.6386
0.9461 0.5973 0.3885
0.9462 0.5981 0.8884
0.2502 0.4996 0.1250
0.2498 0.5004 0.6250
0.7498 0.9996 0.3750
0.7502 0.0004 0.8750
0.0044 0.4040 0.7219
0.0053 0.4032 0.2222
0.1534 0.7453 0.5279
0.1535 0.7449 0.0282
0.3465 0.2551 0.5282
0.3466 0.2547 0.0279
0.4947 0.5968 0.7222
0.4956 0.5960 0.2219
0.5044 0.0960 0.2781
0.5053 0.0968 0.7778
0.6534 0.7547 0.4721
0.6535 0.7551 0.9718
0.8465 0.2449 0.4718
0.8466 0.2453 0.9721
0.9947 0.9032 0.2778
0.9956 0.9040 0.7781
```


No. 7
Entry from Alexandria via LeMat-Bulk: an optimized crystal structure of Na2SnTe4 (PBE).

E: -3.133 eV/atom

Cell and atoms, written as POSCAR:
```
Na2SnTe4
1.0
0.0000 6.1366 4.5437
4.7185 0.0000 4.5437
4.7185 6.1366 0.0000
Na Sn Te
2 1 4
direct
0.0000 0.0000 0.5000
0.5000 0.5000 0.0000
0.1392 0.1392 0.8608
0.0162 0.7137 0.9838
0.0456 0.4579 0.5421
0.4579 0.0456 0.9544
0.7137 0.0162 0.2863
```


No. 8
Entry from Alexandria via LeMat-Bulk: an optimized crystal structure of Na3Sn2Te4 (PBE).

E: -3.263 eV/atom

Cell and atoms, written as POSCAR:
```
Na3Sn2Te4
1.0
8.1701 -2.8504 0.0000
8.1701 2.8504 0.0000
-0.0683 0.0000 6.4223
Na Sn Te
3 2 4
direct
0.0000 0.0000 0.0000
0.1818 0.1818 0.7148
0.8182 0.8182 0.2852
0.3914 0.3914 0.7976
0.6086 0.6086 0.2024
0.1745 0.1745 0.2240
0.4301 0.4301 0.2559
0.5699 0.5699 0.7441
0.8255 0.8255 0.7760
```


No. 9
Entry from Alexandria via LeMat-Bulk: an optimized crystal structure of NaSnTe2 (PBE).

E: -3.327 eV/atom

Cell and atoms, written as POSCAR:
```
NaSnTe2
1.0
6.8130 0.0000 0.0000
0.0000 4.8343 0.0000
0.0000 0.0000 16.4615
Na Sn Te
4 4 8
direct
0.1031 0.2500 0.1603
0.3969 0.7500 0.6603
0.6031 0.2500 0.3397
0.8969 0.7500 0.8397
0.1056 0.7500 0.4106
0.3944 0.2500 0.9106
0.6056 0.7500 0.0894
0.8944 0.2500 0.5894
0.1393 0.2500 0.7494
0.2123 0.7500 0.9934
0.2877 0.2500 0.4934
0.3607 0.7500 0.2494
0.6393 0.2500 0.7506
0.7123 0.7500 0.5066
0.7877 0.2500 0.0066
0.8607 0.7500 0.2506
```


No. 10
Entry from Alexandria via LeMat-Bulk: an optimized crystal structure of Na2SnTe2 (PBE).

E: -3.192 eV/atom

Cell and atoms, written as POSCAR:
```
Na2SnTe2
1.0
2.1880 -11.0597 0.0000
2.1880 11.0597 0.0000
0.0000 0.0000 6.6861
Na Sn Te
4 2 4
direct
0.0139 0.9861 0.5000
0.1828 0.8172 0.2676
0.8172 0.1828 0.7676
0.9861 0.0139 0.0000
0.3914 0.6086 0.2843
0.6086 0.3914 0.7843
0.1978 0.8022 0.7702
0.4240 0.5760 0.7168
0.5760 0.4240 0.2168
0.8022 0.1978 0.2702
```


No. 11
Entry from Alexandria via LeMat-Bulk: an optimized crystal structure of Na3SnTe4 (PBE).

E: -3.056 eV/atom

Cell and atoms, written as POSCAR:
```
Na3SnTe4
1.0
10.3671 0.0000 0.0000
0.0000 9.1537 0.0000
0.0000 0.0000 6.6456
Na Sn Te
6 2 8
direct
0.0000 0.1586 0.0000
0.2312 0.3196 0.4832
0.2688 0.6804 0.9832
0.5000 0.8414 0.5000
0.7312 0.6804 0.9832
0.7688 0.3196 0.4832
0.0000 0.8130 0.3809
0.5000 0.1870 0.8809
0.0000 0.1033 0.5068
0.0000 0.8217 0.9642
0.2244 0.6644 0.4889
0.2756 0.3356 0.9889
0.5000 0.1783 0.4642
0.5000 0.8967 0.0068
0.7244 0.3356 0.9889
0.7756 0.6644 0.4889
```


No. 12
Entry from Alexandria via LeMat-Bulk: an optimized crystal structure of NaSn2Te2 (PBE).

E: -3.384 eV/atom

Cell and atoms, written as POSCAR:
```
NaSn2Te2
1.0
8.4738 0.0000 0.0000
0.0000 8.4738 0.0000
0.0000 0.0000 4.3536
Na Sn Te
2 4 4
direct
0.0000 0.0000 0.0000
0.5000 0.5000 0.0000
0.1377 0.3623 0.5000
0.3623 0.8623 0.5000
0.6377 0.1377 0.5000
0.8623 0.6377 0.5000
0.1715 0.6715 0.0000
0.3285 0.1715 0.0000
0.6715 0.8285 0.0000
0.8285 0.3285 0.0000
```


No. 13
Entry from Alexandria via LeMat-Bulk: an optimized crystal structure of Na4SnTe4 (PBE).

E: -3.076 eV/atom

Cell and atoms, written as POSCAR:
```
Na4SnTe4
1.0
-3.7976 3.7976 6.0614
3.7976 -3.7976 6.0614
3.7976 3.7976 -6.0614
Na Sn Te
4 1 4
direct
0.0000 0.5000 0.5000
0.1841 0.1841 0.0000
0.5000 0.0000 0.5000
0.8159 0.8159 0.0000
0.5000 0.5000 0.0000
0.1547 0.1547 0.5829
0.4282 0.8453 0.0000
0.5718 0.5718 0.4171
0.8453 0.4282 0.0000
```


No. 14
Entry from Alexandria via LeMat-Bulk: an optimized crystal structure of NaSn3Te3 (PBE).

E: -3.475 eV/atom

Cell and atoms, written as POSCAR:
```
NaSn3Te3
1.0
4.7189 2.7244 6.4099
-4.7189 2.7244 6.4099
0.0000 -5.4489 6.4099
Na Sn Te
2 6 6
direct
0.1662 0.1662 0.1662
0.8338 0.8338 0.8338
0.0747 0.3644 0.7645
0.2355 0.9253 0.6356
0.3644 0.7645 0.0747
0.6356 0.2355 0.9253
0.7645 0.0747 0.3644
0.9253 0.6356 0.2355
0.0640 0.7233 0.4733
0.2767 0.5267 0.9360
0.4733 0.0640 0.7233
0.5267 0.9360 0.2767
0.7233 0.4733 0.0640
0.9360 0.2767 0.5267
```


No. 15
Entry from Alexandria via LeMat-Bulk: an optimized crystal structure of Na2SnTe4 (PBE).

E: -2.852 eV/atom

Cell and atoms, written as POSCAR:
```
Na2SnTe4
1.0
5.8497 0.0000 0.0000
0.0000 5.8497 0.0000
0.0000 0.0000 15.4286
Na Sn Te
4 2 8
direct
0.0000 0.0000 0.1128
0.0000 0.0000 0.8872
0.5000 0.5000 0.3872
0.5000 0.5000 0.6128
0.0000 0.0000 0.5000
0.5000 0.5000 0.0000
0.0000 0.0000 0.3151
0.0000 0.0000 0.6849
0.0000 0.5000 0.0000
0.0000 0.5000 0.5000
0.5000 0.0000 0.0000
0.5000 0.0000 0.5000
0.5000 0.5000 0.1849
0.5000 0.5000 0.8151
```


No. 16
Entry from Alexandria via LeMat-Bulk: an optimized crystal structure of NaSn2Te2 (PBE).

E: -3.347 eV/atom

Cell and atoms, written as POSCAR:
```
NaSn2Te2
1.0
8.5681 0.0000 0.0000
0.0000 8.5681 0.0000
0.0000 0.0000 4.2094
Na Sn Te
2 4 4
direct
0.0000 0.0000 0.0000
0.5000 0.5000 0.0000
0.1287 0.3713 0.0000
0.3713 0.8713 0.0000
0.6287 0.1287 0.0000
0.8713 0.6287 0.0000
0.1829 0.6829 0.5000
0.3171 0.1829 0.5000
0.6829 0.8171 0.5000
0.8171 0.3171 0.5000
```


No. 17
Entry from Alexandria via LeMat-Bulk: an optimized crystal structure of NaSn3Te (PBE).

E: -2.728 eV/atom

Cell and atoms, written as POSCAR:
```
NaSn3Te
1.0
5.4710 0.0000 0.0000
0.0000 5.4710 0.0000
0.0000 0.0000 5.4710
Na Sn Te
1 3 1
direct
0.0000 0.0000 0.0000
0.0000 0.0000 0.5000
0.0000 0.5000 0.0000
0.5000 0.0000 0.0000
0.5000 0.5000 0.5000
```


No. 18
Entry from Alexandria via LeMat-Bulk: an optimized crystal structure of Na3Sn2Te4 (PBE).

E: -3.242 eV/atom

Cell and atoms, written as POSCAR:
```
Na3Sn2Te4
1.0
8.3917 -4.0905 0.0000
8.3917 4.0905 0.0000
-0.1006 0.0000 9.3838
Na Sn Te
6 4 8
direct
0.0033 0.9967 0.7500
0.3481 0.4315 0.2843
0.4315 0.3481 0.7843
0.5685 0.6519 0.2157
0.6519 0.5685 0.7157
0.9967 0.0033 0.2500
0.0649 0.3165 0.9651
0.3165 0.0649 0.4651
0.6835 0.9351 0.5349
0.9351 0.6835 0.0349
0.0885 0.3654 0.6604
0.2313 0.6877 0.9993
0.3123 0.7687 0.5007
0.3654 0.0885 0.1604
0.6346 0.9115 0.8396
0.6877 0.2313 0.4993
0.7687 0.3123 0.0007
0.9115 0.6346 0.3396
```


No. 19
Entry from Alexandria via LeMat-Bulk: an optimized crystal structure of Na4SnTe5 (PBE).

E: -2.962 eV/atom

Cell and atoms, written as POSCAR:
```
Na4SnTe5
1.0
-5.0110 5.0110 3.2752
5.0110 -5.0110 3.2752
5.0110 5.0110 -3.2752
Na Sn Te
4 1 5
direct
0.0936 0.2989 0.3925
0.2989 0.9064 0.2053
0.7011 0.0936 0.7947
0.9064 0.7011 0.6075
0.5865 0.5865 0.0000
0.0133 0.0133 0.0000
0.2254 0.5832 0.8141
0.4113 0.2254 0.6422
0.5832 0.7691 0.3578
0.7691 0.4113 0.1859
```


No. 20
Entry from Alexandria via LeMat-Bulk: an optimized crystal structure of NaSn3Te (PBE).

E: -2.886 eV/atom

Cell and atoms, written as POSCAR:
```
NaSn3Te
1.0
5.9403 0.0000 0.0000
0.0000 5.9403 0.0000
0.0000 0.0000 5.9403
Na Sn Te
1 3 1
direct
0.0000 0.0000 0.0000
0.0000 0.5000 0.5000
0.5000 0.0000 0.5000
0.5000 0.5000 0.0000
0.5000 0.5000 0.5000
```